Entry from the Alexandria database: a relaxed structure of PuZr3Zn2 (GGA-PBE).

energy of formation: -0.134 eV per atom
V: 20.49 Å³/atom

```
data_PuZr3Zn2
_space_group_name_H-M_alt 'P 1'
_space_group_IT_number 1
_cell_length_a 3.2629
_cell_length_b 3.2629
_cell_length_c 11.5487
_cell_angle_alpha 90.00
_cell_angle_beta 90.00
_cell_angle_gamma 90.00
loop_
_space_group_symop_operation_xyz
'x,y,z'
loop_
_atom_site_label
_atom_site_type_symbol
_atom_site_fract_x
_atom_site_fract_y
_atom_site_fract_z
Pu1 Pu 0.5000 0.5000 0.5000
Zr1 Zr 0.0000 0.0000 0.0000
Zr2 Zr 0.0000 0.0000 0.6951
Zr3 Zr 0.0000 0.0000 0.3049
Zn1 Zn 0.5000 0.5000 0.8466
Zn2 Zn 0.5000 0.5000 0.1534
```